Entry 1:
Here is a relaxed K2YAs2O6 crystal from Alexandria. Energies are from PBE.

Cell: 5.7777 5.7777 7.2127 Å, 111.99 111.99 62.51°
Closest atoms and distances in Å follow each position.
Element x y z (fractional)
K (0.2075, 0.2075, 0.1734)  5 O 2.78-3.09
K (0.7925, 0.7925, 0.8266)  5 O 2.78-3.09
Y (0.0000, 0.0000, 0.5000)  6 O 2.27-2.30
As (0.4348, 0.4348, 0.7799)  3 O 1.76-1.77
As (0.5652, 0.5652, 0.2201)  3 O 1.76-1.77
O (0.2349, 0.7058, 0.2538)  1 As 1.77
O (0.2495, 0.2495, 0.5831)  1 As 1.76
O (0.2942, 0.7651, 0.7462)  1 As 1.77
O (0.7058, 0.2349, 0.2538)  1 As 1.77
O (0.7505, 0.7505, 0.4169)  1 As 1.76
O (0.7651, 0.2942, 0.7462)  1 As 1.77

Output
Its space group is C2/m. The energy relative to the elements, uncorrected comes out at -1926 meV/atom.

***

Entry 2:
Here is a relaxed Sr2DyAgAu6 crystal from Alexandria. Energies are from PBE.

Cell: 7.5560 7.5560 7.5560 Å, 60.00 60.00 60.00°
Closest atoms and distances in Å follow each position.
Element x y z (fractional)
Sr (0.2500, 0.2500, 0.2500)  12 Au 3.78
Sr (0.7500, 0.7500, 0.7500)  12 Au 3.78
Dy (0.0000, 0.0000, 0.0000)  6 Au 2.73
Ag (0.5000, 0.5000, 0.5000)  6 Au 2.62
Au (0.2550, 0.2550, 0.7450)  1 Ag 2.62, 1 Dy 2.73
Au (0.2550, 0.7450, 0.2550)  1 Ag 2.62, 1 Dy 2.73
Au (0.2550, 0.7450, 0.7450)  1 Ag 2.62, 1 Dy 2.73
Au (0.7450, 0.2550, 0.2550)  1 Ag 2.62, 1 Dy 2.73
Au (0.7450, 0.2550, 0.7450)  1 Ag 2.62, 1 Dy 2.73
Au (0.7450, 0.7450, 0.2550)  1 Ag 2.62, 1 Dy 2.73

Output
Its space group is Fm-3m. The value obtained for the calculated formation energy is -0.2075 eV per atom.

***

Entry 3:
Here is a relaxed CrIn2Te crystal from Alexandria. Energies are from PBE.

Cell: 7.1030 7.1030 7.1030 Å, 149.10 145.14 47.26°
Closest atoms and distances in Å follow each position.
Element x y z (fractional)
Cr (0.0000, 0.0000, 0.0000)  4 Te 2.85, 4 In 3.18
In (0.1962, 0.6962, 0.5000)  4 In 3.17, 2 Cr 3.18, 2 Te 3.32
In (0.8038, 0.3038, 0.5000)  4 In 3.17, 2 Cr 3.18, 2 Te 3.32
Te (0.5000, 0.5000, 0.0000)  4 Cr 2.85

Output
Its space group is Immm. The energy relative to the elements, uncorrected comes out at 155 meV/atom.

***

Entry 4:
Here is a relaxed Zn2InHgPt crystal from Alexandria. Energies are from PBE.

Cell: 4.9336 4.9336 5.1887 Å, 90.00 90.00 90.00°
Closest atoms and distances in Å follow each position.
Element x y z (fractional)
Zn (0.0000, 0.5000, 0.0000)  2 Pt 2.47
Zn (0.5000, 0.0000, 0.0000)  2 Pt 2.47
In (0.0000, 0.0000, 0.5000)  2 Pt 2.59
Hg (0.5000, 0.5000, 0.5000)  4 In 3.49, 8 Zn 3.58
Pt (0.0000, 0.0000, 0.0000)  4 Zn 2.47, 2 In 2.59

Output
Its space group is P4/mmm. The value obtained for the calculated formation energy is -0.1315 eV per atom.

***

Number 1: size of the total moment 1.02 μB per cell, density of states at the Fermi level 0.126 states/eV per atom. Number 2: size of the total moment 0.00 μB per cell, density of states at the Fermi level 0.391 states/eV per atom. Number 3: size of the total moment 4.20 μB per cell, density of states at the Fermi level 0.491 states/eV per atom. Number 4: size of the total moment 0.00 μB per cell, density of states at the Fermi level 0.468 states/eV per atom.